No. 1
BeTlRe2: relaxed, PBEsol.

Results
Space group: Pmmm
E in eV/atom: -7.4787
Formation enthalpy at 0 K in eV/atom: 0.84
Relative energy among the computed polymorphs in meV per atom: 35

abc: 3.0679 4.4109 4.4848
angles: 90.00 90.00 90.00
Closest atoms and distances in Å follow each position.
Fractional coordinates of all 4 atoms:
Be: 0.0000 0.5000 0.5000  4 Tl 2.69, 4 Re 2.72
Re: 0.5000 0.5000 0.0000  4 Re 2.69, 4 Be 2.72
Re: 0.0000 0.0000 0.0000  4 Re 2.69, 4 Tl 2.72
Tl: 0.5000 0.0000 0.5000  4 Be 2.69, 4 Re 2.72

=====

No. 2
Be3TlRe: relaxed, PBEsol.

Results
Space group: Pm-3m
E in eV/atom: -4.5355
Formation enthalpy at 0 K in eV/atom: 1.06

abc: 4.3193 4.3193 4.3193
angles: 90.00 90.00 90.00
Closest atoms and distances in Å follow each position.
Fractional coordinates of all 5 atoms:
Re: 0.0000 0.0000 0.0000  6 Be 2.16
Be: 0.5000 0.0000 0.0000  2 Re 2.16
Be: 0.0000 0.0000 0.5000  2 Re 2.16
Be: 0.0000 0.5000 0.0000  2 Re 2.16
Tl: 0.5000 0.5000 0.5000  12 Be 3.05

=====

No. 3
BeTlRe2: relaxed, PBEsol.

Results
Space group: R-3m
E in eV/atom: -7.5139
Formation enthalpy at 0 K in eV/atom: 0.81
Relative energy among the computed polymorphs in meV per atom: 0

abc: 2.8410 2.8410 8.7099
angles: 80.61 80.61 60.00
Closest atoms and distances in Å follow each position.
Fractional coordinates of all 4 atoms:
Be: 0.0000 0.0000 0.0000  6 Re 2.47
Re: 0.2613 0.2613 0.2160  3 Be 2.47
Re: 0.7387 0.7387 0.7840  3 Be 2.47
Tl: 0.5000 0.5000 0.5000  6 Tl 2.84, 6 Re 2.93

=====

No. 4
Be2TlRe: relaxed, PBEsol.

Results
Space group: I-42d
E in eV/atom: -5.0957
Formation enthalpy at 0 K in eV/atom: 0.89
Relative energy among the computed polymorphs in meV per atom: 573

abc: 5.3434 5.3434 5.3434
angles: 104.87 104.87 119.12
Closest atoms and distances in Å follow each position.
Fractional coordinates of all 8 atoms:
Be: 0.6250 0.1461 0.0211  2 Re 2.31, 2 Tl 2.50
Be: 0.3961 0.3750 0.5211  2 Re 2.31, 2 Tl 2.50
Be: 0.1250 0.6039 0.9789  2 Re 2.31, 2 Tl 2.50
Be: 0.8539 0.8750 0.4789  2 Re 2.31, 2 Tl 2.50
Re: 0.5000 0.5000 0.0000  4 Be 2.31
Re: 0.7500 0.2500 0.5000  4 Be 2.31
Tl: 0.2500 0.7500 0.5000  4 Be 2.50, 2 Re 2.71
Tl: 0.0000 0.0000 0.0000  4 Be 2.50, 2 Re 2.71

=====

No. 5
Be2VRe2: relaxed, PBEsol.

Results
Space group: P4/mbm
E in eV/atom: -9.1605
Formation enthalpy at 0 K in eV/atom: -0.30

abc: 3.1039 5.9827 5.9827
angles: 90.00 90.00 90.00
Closest atoms and distances in Å follow each position.
Fractional coordinates of all 10 atoms:
Re: 0.5000 0.8230 0.3230  6 Be 2.32-2.38
Re: 0.5000 0.1770 0.6770  6 Be 2.32-2.38
Re: 0.5000 0.6770 0.8230  6 Be 2.32-2.38
Re: 0.5000 0.3230 0.1770  6 Be 2.32-2.38
V: 0.0000 0.0000 0.0000  4 Be 2.39
V: 0.0000 0.5000 0.5000  4 Be 2.39
Be: 0.0000 0.8806 0.6194  1 Be 2.02
Be: 0.0000 0.6194 0.1194  1 Be 2.02
Be: 0.0000 0.3806 0.8806  1 Be 2.02
Be: 0.0000 0.1194 0.3806  1 Be 2.02

=====

No. 6
Be2ReW: relaxed, PBEsol.

Results
Space group: Amm2
E in eV/atom: -8.9778
Formation enthalpy at 0 K in eV/atom: -0.19
Relative energy among the computed polymorphs in meV per atom: 0

abc: 3.1381 3.1982 4.6461
angles: 90.00 109.74 90.00
Closest atoms and distances in Å follow each position.
Fractional coordinates of all 4 atoms:
Be: 0.0569 0.5000 0.1139  2 Be 1.99
Be: 0.1917 0.0000 0.3834  2 Be 1.99
Re: 0.4731 0.0000 0.9462  7 Be 2.36-2.47
W: 0.7781 0.5000 0.5563  7 Be 2.36-2.49

=====

No. 7
Be2ReW2: relaxed, PBEsol.

Results
Space group: P4/mbm
E in eV/atom: -9.9693
Formation enthalpy at 0 K in eV/atom: -0.18

abc: 3.1645 6.1481 6.1481
angles: 90.00 90.00 90.00
Closest atoms and distances in Å follow each position.
Fractional coordinates of all 10 atoms:
W: 0.5000 0.8258 0.3258  6 Be 2.39-2.43
W: 0.5000 0.1742 0.6742  6 Be 2.39-2.43
W: 0.5000 0.3258 0.1742  6 Be 2.39-2.43
W: 0.5000 0.6742 0.8258  6 Be 2.39-2.43
Be: 0.0000 0.1200 0.3800  1 Be 2.09
Be: 0.0000 0.6200 0.1200  1 Be 2.09
Be: 0.0000 0.3800 0.8800  1 Be 2.09
Be: 0.0000 0.8800 0.6200  1 Be 2.09
Re: 0.0000 0.5000 0.5000  4 Be 2.45
Re: 0.0000 0.0000 0.0000  4 Be 2.45

=====

No. 8
Be2ReW: relaxed, PBEsol.

Results
Space group: F-43m
E in eV/atom: -8.6372
Formation enthalpy at 0 K in eV/atom: 0.15
Relative energy among the computed polymorphs in meV per atom: 341

abc: 4.1293 4.1293 4.1293
angles: 60.00 60.00 60.00
Closest atoms and distances in Å follow each position.
Fractional coordinates of all 4 atoms:
Re: 0.5000 0.5000 0.5000  4 W 2.53, 4 Be 2.53
W: 0.2500 0.2500 0.2500  4 Re 2.53, 4 Be 2.53
Be: 0.0000 0.0000 0.0000  4 Be 2.53, 4 W 2.53
Be: 0.7500 0.7500 0.7500  4 Re 2.53, 4 Be 2.53

=====

No. 9
Be4ReW: relaxed, PBEsol.

Results
Space group: F-43m
E in eV/atom: -7.5585
Formation enthalpy at 0 K in eV/atom: -0.37

abc: 4.3846 4.3846 4.3846
angles: 60.00 60.00 60.00
Closest atoms and distances in Å follow each position.
Fractional coordinates of all 6 atoms:
Re: 0.7500 0.7500 0.7500  12 Be 2.57, 4 W 2.68
Be: 0.3745 0.8764 0.3745  6 Be 2.18-2.20
Be: 0.3745 0.3745 0.3745  6 Be 2.18-2.20
Be: 0.8764 0.3745 0.3745  6 Be 2.18-2.20
Be: 0.3745 0.3745 0.8764  6 Be 2.18-2.20
W: 0.0000 0.0000 0.0000  12 Be 2.57, 4 Re 2.68

=====

No. 10
BeReW: relaxed, PBEsol.

Results
Space group: F-43m
E in eV/atom: -9.6971
Formation enthalpy at 0 K in eV/atom: 0.68

abc: 3.8752 3.8752 3.8752
angles: 60.00 60.00 60.00
Closest atoms and distances in Å follow each position.
Fractional coordinates of all 3 atoms:
W: 0.5000 0.5000 0.5000  4 Be 2.37
Re: 0.0000 0.0000 0.0000  4 Be 2.37
Be: 0.2500 0.2500 0.2500  4 Re 2.37, 4 W 2.37

=====

No. 11
Be2ReW: relaxed, PBEsol.

Results
Space group: P4mm
E in eV/atom: -8.5772
Formation enthalpy at 0 K in eV/atom: 0.21
Relative energy among the computed polymorphs in meV per atom: 401

abc: 3.0482 3.0482 5.3510
angles: 90.00 90.00 90.00
Closest atoms and distances in Å follow each position.
Fractional coordinates of all 4 atoms:
W: 0.5000 0.5000 0.7480  4 Re 2.56, 6 Be 2.61-2.74
Be: 0.0000 0.0000 0.0246  4 Be 2.43, 1 Re 2.50, 4 W 2.61
Be: 0.5000 0.5000 0.2358  4 Be 2.43, 4 Re 2.55, 1 W 2.61
Re: 0.0000 0.0000 0.4916  5 Be 2.50-2.55, 4 W 2.56

=====

No. 12
Be2ReW: relaxed, PBEsol.

Results
Space group: P4/mmm
E in eV/atom: -8.5540
Formation enthalpy at 0 K in eV/atom: 0.23
Relative energy among the computed polymorphs in meV per atom: 424

abc: 3.2616 3.7855 3.7855
angles: 90.00 90.00 90.00
Closest atoms and distances in Å follow each position.
Fractional coordinates of all 4 atoms:
Be: 0.0000 0.5000 0.0000  4 W 2.50, 4 Re 2.50, 4 Be 2.68
Be: 0.0000 0.0000 0.5000  4 W 2.50, 4 Re 2.50, 4 Be 2.68
W: 0.5000 0.0000 0.0000  8 Be 2.50, 4 Re 2.68
Re: 0.5000 0.5000 0.5000  8 Be 2.50, 4 W 2.68

=====

No. 13
YBeRe: relaxed, PBEsol.

Results
Space group: P3m1
E in eV/atom: -7.5215
Formation enthalpy at 0 K in eV/atom: 0.53

abc: 3.2204 3.2204 5.5993
angles: 90.00 90.00 120.00
Closest atoms and distances in Å follow each position.
Fractional coordinates of all 3 atoms:
Y: 0.6667 0.3333 0.3224  3 Be 2.78, 3 Re 2.92
Be: 0.0000 0.0000 0.9533  3 Re 2.26
Re: 0.3333 0.6667 0.7243  3 Be 2.26

=====

No. 14
YBe2Re: relaxed, PBEsol.

Results
Space group: C2/m
E in eV/atom: -6.9840
Formation enthalpy at 0 K in eV/atom: 0.05

abc: 3.4747 4.2260 4.8902
angles: 108.40 90.00 114.27
Closest atoms and distances in Å follow each position.
Fractional coordinates of all 4 atoms:
Re: 0.5000 0.0000 0.0000  6 Be 2.34-2.39
Be: 0.2154 0.4307 0.0947  2 Be 2.12, 2 Re 2.34
Be: 0.7846 0.5693 0.9053  2 Be 2.12, 2 Re 2.34
Y: 0.0000 0.0000 0.5000  8 Be 2.81-2.99, 4 Re 3.00

=====

Number 1: DOS(E_F) 2.42 states/eV/cell. Number 2: DOS(E_F) 3.08 states/eV/cell. Number 3: DOS(E_F) 3.22 states/eV/cell. Number 4: DOS(E_F) 1.59 states/eV/cell. Number 5: DOS(E_F) 5.11 states/eV/cell. Number 6: DOS(E_F) 1.67 states/eV/cell. Number 7: DOS(E_F) 5.16 states/eV/cell. Number 8: DOS(E_F) 2.01 states/eV/cell. Number 9: DOS(E_F) 0.73 states/eV/cell. Number 10: DOS(E_F) 1.90 states/eV/cell. Number 11: DOS(E_F) 3.19 states/eV/cell. Number 12: DOS(E_F) 2.87 states/eV/cell. Number 13: DOS(E_F) 1.91 states/eV/cell. Number 14: DOS(E_F) 2.01 states/eV/cell.